1.
Tm2ScAl3PtAu2 GGA-PBE optimized geometry; symmetry = Amm2 (38); total magnetic moment = 0.00 μB/f.u.; total DFT energy (no corrections) = -47.4 eV for the cell shown
1.0
-2.706 1.148 2.473
-5.088 -3.197 -4.083
3.265 -3.738 5.306
Al Au Pt Sc Tm
3 2 1 1 2
Cartesian
-2.586 -0.230 0.261 Al
-0.577 -0.360 2.519 Al
-2.727 -4.652 2.158 Al
-3.617 -2.794 0.323 Au
-0.906 -2.969 3.369 Au
-0.007 -0.026 0.005 Pt
-0.736 -2.800 0.494 Sc
-3.155 -5.409 -0.941 Tm
0.252 -5.629 2.888 Tm

2.
TeAsPtO GGA-PBE optimized geometry; symmetry = P4/nmm (129); total magnetic moment = 0.00 μB/f.u.; total DFT energy (no corrections) = -34.8 eV for the cell shown
1.0
-4.117 0.463 1.648
1.141 -2.459 3.540
2.655 7.673 4.475
As O Pt Te
2 2 2 2
Cartesian
-1.473 0.697 5.171 As
1.152 4.980 4.492 As
-2.802 -0.267 2.121 O
-0.174 -1.729 3.067 O
-2.135 -1.216 4.055 Pt
1.814 6.893 5.608 Pt
-1.475 3.569 4.359 Te
1.154 2.108 5.304 Te